3
Lattice="-1.190 -0.222 3.641 1.783 -3.797 0.351 2.211 3.458 0.933" Properties=species:S:1:pos:R:3 comment="PmZnCo PBE relaxed" sg=P-6m2 formation_enthalpy_0k_kcal_per_mol_atoms=-3.35 pbc="T T T"
Zn -0.198 -0.037 0.606
Co 1.727 -1.416 1.152
Pm 1.275 0.892 3.166

---

11
Lattice="-3.459 1.005 -3.473 0.648 -1.776 -4.764 -5.047 -5.167 -0.074" Properties=species:S:1:pos:R:3 comment="Mg2Ni5P4 PBE relaxed" sg=Fmmm formation_enthalpy_0k_kcal_per_mol_atoms=-9.12 pbc="T T T"
Mg -4.283 -0.402 -3.060
Mg -4.224 -3.760 -0.486
Ni -1.730 0.503 -1.737
Ni 0.324 -0.888 -2.382
Ni -1.406 -0.385 -4.119
Ni -3.065 -3.220 -3.287
Ni -4.794 -2.718 -5.024
P -5.191 -3.907 -3.171
P -2.669 -2.031 -5.140
P -1.851 -1.659 -2.241
P -6.008 -4.279 -6.070

---

8
Lattice="-1.998 3.710 1.207 -6.702 -3.121 -1.500 -2.642 -3.443 6.211" Properties=species:S:1:pos:R:3 comment="Pm4SbPbSe2 PBE relaxed" sg=P2/m dft_energy_ev_per_atom=-5.58 pbc="T T T"
Pm -7.066 -4.942 3.495
Pm -4.276 2.088 2.423
Pm -6.739 -1.365 1.000
Pm -4.604 -1.490 4.918
Sb -4.672 -3.282 2.355
Pb -6.992 -3.149 6.064
Se -2.642 -3.443 6.211
Se -2.320 0.134 3.709

---

18
Lattice="-1.012 0.041 4.549 9.695 -1.732 -0.216 2.612 14.565 0.449" Properties=species:S:1:pos:R:3 comment="Ba2YScTe5 PBE relaxed" sg=Cmc2_1 dft_energy_ev_per_atom=-5.10 pbc="T T T"
Ba 8.172 10.590 4.109
Ba 3.757 9.633 0.749
Ba 3.435 4.020 0.728
Ba 7.207 1.391 3.977
Y 6.150 6.584 3.695
Y 3.936 -0.455 0.879
Sc 2.503 13.754 2.820
Sc 9.835 4.936 2.143
Te 9.463 13.273 1.985
Te 5.060 12.239 3.402
Te 10.987 9.537 2.357
Te 6.921 8.596 1.462
Te 9.181 6.550 4.370
Te 3.133 6.852 3.022
Te 6.918 4.441 1.498
Te 0.410 3.908 2.443
Te 3.887 1.562 3.237
Te 1.089 0.606 0.237

---

14
Lattice="8.289 0.000 0.000 0.000 8.289 0.000 0.000 0.000 8.289" Properties=species:S:1:pos:R:3 comment="Cd3HgPb3 PBE relaxed" sg=Pm-3n formation_enthalpy_0k_kcal_per_mol_atoms=8.76 pbc="T T T"
Pb 0.000 2.072 4.145
Pb 0.000 6.217 4.145
Pb 4.145 0.000 6.217
Pb 6.217 4.145 0.000
Pb 4.145 0.000 2.072
Pb 2.072 4.145 0.000
Hg 4.145 4.145 4.145
Hg 0.000 0.000 0.000
Cd 2.072 0.000 4.145
Cd 0.000 4.145 2.072
Cd 4.145 6.217 0.000
Cd 6.217 0.000 4.145
Cd 0.000 4.145 6.217
Cd 4.145 2.072 0.000

---

4
Lattice="-2.651 -1.692 5.833 0.107 -3.185 5.810 -0.032 -0.160 6.624" Properties=species:S:1:pos:R:3 comment="TlCuN2 PBE relaxed" sg=R-3m dft_energy_ev_per_atom=-4.57 pbc="T T T"
Tl 0.000 0.000 0.000
Cu -1.288 -2.518 9.134
N -2.266 -4.430 16.068
N -0.310 -0.606 2.199

---

12
Lattice="-0.273 2.405 2.881 -4.354 -4.957 3.725 7.795 -3.152 0.912" Properties=species:S:1:pos:R:3 comment="LiNp2Sc3S6 PBE relaxed" sg=C2/m dft_energy_ev_per_atom=-7.62 pbc="T T T"
Li -0.136 1.202 1.441
Np 2.065 -3.423 5.509
Np 1.103 -2.282 2.009
Sc -2.313 -1.276 3.303
Sc 4.217 -0.959 3.656
Sc -1.049 -4.746 3.861
S 1.054 -5.927 5.046
S -0.206 -2.348 4.397
S 2.114 0.222 2.472
S 6.361 -1.974 4.707
S -3.193 -3.731 2.811
S 3.374 -3.357 3.121

---

15
Lattice="8.366 0.000 0.000 -4.183 7.246 -0.026 0.000 -4.806 6.995" Properties=species:S:1:pos:R:3 comment="Y8Ge3Te3S PBE relaxed" sg=R-3m dft_energy_ev_per_atom=-6.47 pbc="T T T"
Y 0.000 2.422 1.937
Y 4.183 0.018 5.031
Y 4.183 2.385 1.927
Y 0.000 0.054 5.042
Y 6.243 -1.183 1.940
Y -2.060 3.622 5.029
Y 2.123 -1.183 1.940
Y 2.060 3.622 5.029
Ge 4.183 -2.403 3.497
Ge 2.092 1.220 3.484
Ge -2.092 1.220 3.484
Te 0.000 0.000 0.000
Te -2.092 3.623 -0.013
Te 2.092 3.623 -0.013
S 0.000 -2.403 3.497

---

12
Lattice="6.316 -0.529 0.000 -3.429 5.331 0.000 0.000 0.000 7.158" Properties=species:S:1:pos:R:3 comment="TcAg3F8 PBE relaxed" sg=C222 dft_energy_ev_per_atom=-4.35 pbc="T T T"
Tc 1.444 2.401 3.579
Ag -1.714 2.665 1.694
Ag 1.444 2.401 0.000
Ag 3.158 -0.264 5.464
F 3.139 1.382 3.579
F 3.273 1.301 0.000
F 2.057 3.576 4.989
F 2.194 3.494 2.169
F 0.693 1.308 2.169
F 0.831 1.225 4.989
F -0.386 3.501 0.000
F -0.251 3.420 3.579

---

11
Lattice="-1.741 0.000 -3.227 -3.643 -0.400 -0.118 -5.438 32.491 0.850" Properties=species:S:1:pos:R:3 comment="Pm3Pr6Dy2 PBE relaxed" sg=R-3m formation_enthalpy_0k_kcal_per_mol_atoms=0.29 pbc="T T T"
Pm 0.000 0.000 0.000
Pm -8.361 26.259 -1.738
Pm -2.461 5.832 -0.755
Pr -6.384 8.561 -2.804
Pr -4.438 23.530 0.311
Pr -7.376 17.441 -2.269
Pr -3.446 14.650 -0.224
Pr -3.922 2.718 -2.050
Pr -6.899 29.373 -0.444
Dy -4.915 11.604 -1.514
Dy -5.907 20.487 -0.979

---

10
Lattice="3.655 0.000 0.000 0.000 3.655 0.000 0.000 0.000 10.922" Properties=species:S:1:pos:R:3 comment="CeUN2O PBE relaxed" sg=P4/nmm dft_energy_ev_per_atom=-9.69 pbc="T T T"
Ce 1.827 0.000 6.838
Ce 0.000 1.827 4.084
U 1.827 0.000 1.159
U 0.000 1.827 9.763
N 0.000 1.827 7.841
N 0.000 1.827 0.957
N 1.827 0.000 9.965
N 1.827 0.000 3.081
O 0.000 0.000 5.461
O 1.827 1.827 5.461

---

7
Lattice="4.801 0.000 0.000 0.000 4.801 0.000 2.401 2.401 6.347" Properties=species:S:1:pos:R:3 comment="Ti2Ge4Ir PBE relaxed" sg=I4/mmm formation_enthalpy_0k_kcal_per_mol_atoms=5.24 pbc="T T T"
Ge 2.401 2.401 3.857
Ge 4.801 4.801 2.490
Ge 0.000 2.401 0.000
Ge 2.401 0.000 0.000
Ir 0.000 0.000 0.000
Ti 2.401 2.401 1.288
Ti 4.801 4.801 5.058